Entry 1:
Compound: NaSrTaPt
Source: the Open Quantum Materials Database
Functional: PBE
Structure: relaxed

Structure (extended XYZ):
```
4
Lattice="0.0000 3.5233 3.5233 3.5233 0.0000 3.5233 3.5233 3.5233 0.0000" Properties=species:S:1:pos:R:3 pbc="T T T"
Na 0.0000 0.0000 0.0000
Sr 5.2850 5.2850 5.2850
Ta 1.7617 1.7617 1.7617
Pt 3.5233 3.5233 3.5233
```

The value obtained for the total DFT energy (no corrections) is -0.174 hartree per atom. The value obtained for the excess energy over the best structure of this formula in the dataset is 7.5 meV/atom. Its symmetry is No. 216.

Entry 2:
Compound: Dy2Ho2CBr2Cl3
Source: the Open Quantum Materials Database
Functional: PBE
Structure: relaxed

Structure (extended XYZ):
```
10
Lattice="8.7470 -1.8696 0.0000 8.7470 1.8696 0.0000 -1.7467 0.0000 7.6018" Properties=species:S:1:pos:R:3 pbc="T T T"
Dy 17.1209 0.0000 1.5995
Dy -1.3736 0.0000 6.0023
Ho 4.6941 0.0000 7.0229
Ho 11.0531 0.0000 0.5789
C 8.7470 0.0000 0.0000
Br 1.5671 0.0000 6.2374
Br 14.1801 0.0000 1.3644
Cl 2.2121 0.0000 2.5273
Cl 7.8736 0.0000 3.8009
Cl 13.5352 0.0000 5.0744
```

The value obtained for the total DFT energy (no corrections) is -0.192 hartree per atom. The value obtained for the excess energy over the best structure of this formula in the dataset is 0.0 meV/atom. Its symmetry is No. 12.

Entry 3:
Compound: CsTbNiSe3
Source: the Open Quantum Materials Database
Functional: PBE
Structure: relaxed

Structure (extended XYZ):
```
24
Lattice="10.9665 0.0000 0.0000 0.0000 4.1280 0.0000 0.0000 0.0000 15.7237" Properties=species:S:1:pos:R:3 pbc="T T T"
Cs 2.6951 1.0320 0.1745
Cs 2.7881 3.0960 8.0364
Cs 8.1784 1.0320 7.6873
Cs 8.2714 3.0960 15.5492
Tb 0.0022 1.0320 11.7594
Tb 10.9643 3.0960 3.9643
Tb 5.4855 1.0320 11.8262
Tb 5.4810 3.0960 3.8976
Ni 2.7228 1.0320 4.5007
Ni 2.7605 3.0960 12.3625
Ni 8.2060 1.0320 3.3612
Ni 8.2437 3.0960 11.2231
Se 0.7270 1.0320 5.8300
Se 0.7285 3.0960 13.6308
Se 2.7259 3.0960 3.1873
Se 2.7573 1.0320 11.0491
Se 4.7547 1.0320 5.7689
Se 4.7562 3.0960 13.6919
Se 6.2103 1.0320 2.0319
Se 6.2118 3.0960 9.9548
Se 8.2092 3.0960 4.6746
Se 8.2406 1.0320 12.5365
Se 10.2380 1.0320 2.0929
Se 10.2395 3.0960 9.8937
```

The value obtained for the total DFT energy (no corrections) is -0.175 hartree per atom. The value obtained for the excess energy over the best structure of this formula in the dataset is 17.5 meV/atom. Its symmetry is No. 62.

Entry 4:
Compound: Ba2TbS3
Source: the Open Quantum Materials Database
Functional: PBE
Structure: relaxed

Structure (extended XYZ):
```
6
Lattice="4.2546 0.0000 0.0000 -2.1273 3.6846 0.0000 0.0000 0.0000 10.8735" Properties=species:S:1:pos:R:3 pbc="T T T"
Ba 0.0000 2.4564 1.9275
Ba 2.1273 1.2282 8.9460
Tb 0.0000 0.0000 5.4367
S 0.0000 0.0000 0.0000
S 0.0000 2.4564 6.8943
S 2.1273 1.2282 3.9792
```

The value obtained for the total DFT energy (no corrections) is -0.202 hartree per atom. Its symmetry is No. 164.

Entry 5:
Compound: Sr2PrOsS6
Source: the Open Quantum Materials Database
Functional: PBE
Structure: relaxed

Structure (extended XYZ):
```
10
Lattice="5.9402 -3.5063 0.0000 5.9402 3.5063 0.0000 -3.9835 0.0000 5.9470" Properties=species:S:1:pos:R:3 pbc="T T T"
Sr 2.0018 0.0000 1.3163
Sr 5.8951 0.0000 4.6306
Pr -1.9917 0.0000 2.9735
Os 5.9402 0.0000 0.0000
S 4.5567 1.6590 0.9874
S 0.6045 0.0000 3.9779
S 3.3402 1.6590 4.9595
S 4.5567 -1.6590 0.9874
S 7.2924 0.0000 1.9691
S 3.3402 -1.6590 4.9595
```

The value obtained for the total DFT energy (no corrections) is -0.206 hartree per atom. Its symmetry is No. 12.

Entry 6:
Compound: Cs2AgAuCl6
Source: the Open Quantum Materials Database
Functional: PBE
Structure: relaxed

Structure (extended XYZ):
```
20
Lattice="7.0620 0.0000 0.0000 -3.5310 6.1159 0.0000 0.0000 0.0000 14.3005" Properties=species:S:1:pos:R:3 pbc="T T T"
Cs 0.0000 4.0773 1.1459
Cs 0.0000 4.0773 6.0043
Cs 3.5310 2.0386 8.2962
Cs 3.5310 2.0386 13.1546
Ag 0.0000 4.0773 10.7254
Ag 3.5310 2.0386 3.5751
Au 0.0000 0.0000 3.5751
Au 0.0000 0.0000 10.7254
Cl 0.0000 2.0138 9.0578
Cl 0.0000 2.0138 12.3930
Cl -1.7870 5.1090 9.0578
Cl -1.7870 5.1090 12.3930
Cl 1.7440 1.0069 1.9075
Cl 1.7440 1.0069 5.2427
Cl 1.7870 5.1090 9.0578
Cl 1.7870 5.1090 12.3930
Cl 5.3180 1.0069 1.9075
Cl 5.3180 1.0069 5.2427
Cl 3.5310 4.1021 1.9075
Cl 3.5310 4.1021 5.2427
```

The value obtained for the total DFT energy (no corrections) is -0.102 hartree per atom. The value obtained for the excess energy over the best structure of this formula in the dataset is 153.4 meV/atom. Its symmetry is No. 194.

Entry 7:
Compound: YCoPdPb
Source: the Open Quantum Materials Database
Functional: PBE
Structure: relaxed

Structure (extended XYZ):
```
4
Lattice="0.0000 3.3658 3.3658 3.3658 0.0000 3.3658 3.3658 3.3658 0.0000" Properties=species:S:1:pos:R:3 pbc="T T T"
Y 0.0000 0.0000 0.0000
Co 5.0487 5.0487 5.0487
Pd 1.6829 1.6829 1.6829
Pb 3.3658 3.3658 3.3658
```

The value obtained for the total DFT energy (no corrections) is -0.217 hartree per atom. The value obtained for the excess energy over the best structure of this formula in the dataset is 0.0 meV/atom. Its symmetry is No. 216.

Entry 8:
Compound: LiNdFe
Source: the Open Quantum Materials Database
Functional: PBE
Structure: relaxed

Structure (extended XYZ):
```
3
Lattice="0.0000 3.1578 3.1578 3.1578 0.0000 3.1578 3.1578 3.1578 0.0000" Properties=species:S:1:pos:R:3 pbc="T T T"
Li 0.0000 0.0000 0.0000
Nd 4.7367 4.7367 4.7367
Fe 3.1578 3.1578 3.1578
```

The value obtained for the total DFT energy (no corrections) is -0.147 hartree per atom. The value obtained for the excess energy over the best structure of this formula in the dataset is 392.3 meV/atom. Its symmetry is No. 216.

Entry 9:
Compound: GdFe3
Source: the Open Quantum Materials Database
Functional: PBE
Structure: relaxed

Structure (extended XYZ):
```
8
Lattice="5.8876 0.0000 0.0000 -2.9438 5.0988 0.0000 0.0000 0.0000 4.2944" Properties=species:S:1:pos:R:3 pbc="T T T"
Gd 0.0000 3.3992 1.0736
Gd 2.9438 1.6996 3.2208
Fe 0.0000 1.3819 3.2208
Fe -1.7471 4.4079 3.2208
Fe 1.1968 0.6909 1.0736
Fe 1.7471 4.4079 3.2208
Fe 4.6909 0.6909 1.0736
Fe 2.9438 3.7169 1.0736
```

Its formation energy is 153 meV/atom. The value obtained for the total DFT energy (no corrections) is -0.266 hartree per atom. The value obtained for the excess energy over the best structure of this formula in the dataset is 0.0 meV/atom. Its symmetry is No. 194.

Entry 10:
Compound: Na5Ir3O3
Source: the Open Quantum Materials Database
Functional: PBE
Structure: relaxed

Structure (extended XYZ):
```
11
Lattice="7.8485 0.0000 0.0000 -3.9242 6.7970 0.0000 0.0000 0.0000 3.7576" Properties=species:S:1:pos:R:3 pbc="T T T"
Na -2.9134 5.0461 0.0000
Na 1.0109 1.7509 0.0000
Na 0.0000 4.5313 0.0000
Na 3.9242 2.2657 0.0000
Na 5.8268 0.0000 0.0000
Ir -1.4237 2.4659 1.8788
Ir 2.8474 0.0000 1.8788
Ir 2.5005 4.3311 1.8788
O -1.4281 2.4735 0.0000
O 2.8562 0.0000 0.0000
O 2.4961 4.3234 0.0000
```

The value obtained for the total DFT energy (no corrections) is -0.177 hartree per atom. Its symmetry is No. 189.

Entry 11:
Compound: ZnBiS2I
Source: the Open Quantum Materials Database
Functional: PBE
Structure: relaxed

Structure (extended XYZ):
```
10
Lattice="6.5832 -2.0223 0.0000 6.5832 2.0223 0.0000 -0.4027 0.0000 9.6036" Properties=species:S:1:pos:R:3 pbc="T T T"
Zn 0.0000 0.0000 0.0000
Zn -0.2013 0.0000 4.8018
Bi 3.5610 0.0000 6.5702
Bi 9.2027 0.0000 3.0334
S 0.7937 0.0000 2.6121
S 4.5532 0.0000 4.1857
S 8.2105 0.0000 5.4179
S 11.9700 0.0000 6.9915
I 4.7664 0.0000 0.5611
I 7.9974 0.0000 9.0424
```

The value obtained for the total DFT energy (no corrections) is -0.126 hartree per atom. Its symmetry is No. 12.

Entry 12:
Compound: ErScPb
Source: the Open Quantum Materials Database
Functional: PBE
Structure: relaxed

Structure (extended XYZ):
```
3
Lattice="0.0000 3.5357 3.5357 3.5357 0.0000 3.5357 3.5357 3.5357 0.0000" Properties=species:S:1:pos:R:3 pbc="T T T"
Er 0.0000 0.0000 0.0000
Sc 3.5357 3.5357 3.5357
Pb 1.7678 1.7678 1.7678
```

The value obtained for the total DFT energy (no corrections) is -0.184 hartree per atom. The value obtained for the excess energy over the best structure of this formula in the dataset is 0.0 meV/atom. Its symmetry is No. 216.

The highest total DFT energy (no corrections) belongs to which entry?
Cs2AgAuCl6

Which formula does entry 12 have?
ErScPb

Which value of total DFT energy (no corrections) does entry 4 give?
-0.202 hartree per atom

Number 8 is which compound?
LiNdFe